1.
A plane-wave DFT calculation with PBE-GGA was carried out for an optimized crystal structure of CsSrBCl2.

Lattice parameters (Å, degrees): 5.532 5.475 5.532 90.00 90.00 90.00
Fractional positions:
Cl 0.500 0.000 0.000
Cl 0.000 0.000 0.500
Cs 0.000 0.500 0.000
B 0.000 0.000 0.000
Sr 0.500 0.500 0.500

**Formation energy (no corrections)**: 0.21 eV/atom
**N(E_F)**: 3.03 states/eV per cell
**Space-group type**: P4/mmm, No. 123

2.
A plane-wave DFT calculation with PBE-GGA was carried out for an optimized crystal structure of Ac3Ga2TePd9.

Lattice parameters (Å, degrees): 7.561 7.561 6.978 90.00 90.00 120.00
Fractional positions:
Ga 0.667 0.333 0.848
Ga 0.333 0.667 0.152
Pd 0.826 0.652 0.676
Pd 0.500 0.000 0.000
Pd 0.500 0.500 0.000
Pd 0.652 0.826 0.324
Pd 0.174 0.348 0.324
Pd 0.000 0.500 0.000
Pd 0.826 0.174 0.676
Pd 0.174 0.826 0.324
Pd 0.348 0.174 0.676
Ac 0.667 0.333 0.336
Ac 0.333 0.667 0.664
Ac 0.000 0.000 0.000
Te 0.000 0.000 0.500

**Formation energy (no corrections)**: -0.58 eV/atom
**N(E_F)**: 5.09 states/eV per cell
**Space-group type**: P-3m1, No. 164

3.
A plane-wave DFT calculation with PBE-GGA was carried out for an optimized crystal structure of Pm3Er3Mg.

Lattice parameters (Å, degrees): 6.193 6.193 14.416 77.60 77.60 60.00
Fractional positions:
Er 0.466 0.800 0.601
Er 0.200 0.867 0.399
Er 0.800 0.133 0.601
Er 0.534 0.200 0.399
Er 0.133 0.466 0.601
Er 0.867 0.534 0.399
Pm 0.602 0.935 0.195
Pm 0.269 0.602 0.195
Pm 0.731 0.398 0.805
Pm 0.935 0.269 0.195
Pm 0.398 0.065 0.805
Pm 0.065 0.731 0.805
Mg 0.667 0.667 0.000
Mg 0.333 0.333 0.000

**ΔE to the lowest computed polymorph**: 6.9 kJ per mole of atoms
**N(E_F)**: 19.30 states/eV per cell
**DFT formation energy**: 0.0850 eV per atom
**Space-group type**: R-3, No. 148

4.
A plane-wave DFT calculation with PBE-GGA was carried out for an optimized crystal structure of Pm2Sm7Er.

Lattice parameters (Å, degrees): 3.493 14.987 14.987 154.31 90.00 90.00
Fractional positions:
Sm 0.500 0.657 0.853
Sm 0.500 0.853 0.657
Sm 0.000 0.812 0.188
Sm 0.500 0.147 0.343
Sm 0.500 0.343 0.147
Sm 0.000 0.188 0.812
Sm 0.500 0.500 0.500
Er 0.000 0.000 0.000
Pm 0.500 0.295 0.705
Pm 0.500 0.705 0.295

**N(E_F)**: 15.86 states/eV per cell
**DFT formation energy**: 0.1551 eV per atom
**Space-group type**: Cmmm, No. 65

5.
A plane-wave DFT calculation with PBE-GGA was carried out for an optimized crystal structure of MgZnSe3.

Lattice parameters (Å, degrees): 4.942 4.942 4.942 90.00 90.00 90.00
Fractional positions:
Se 0.000 0.500 0.000
Se 0.000 0.000 0.500
Se 0.500 0.000 0.000
Zn 0.000 0.000 0.000
Mg 0.500 0.500 0.500

**ΔE to the lowest computed polymorph**: 47.6 kJ per mole of atoms
**Formation energy (no corrections)**: 0.10 eV/atom
**N(E_F)**: 4.54 states/eV per cell
**Space-group type**: Pm-3m, No. 221

6.
A plane-wave DFT calculation with PBE-GGA was carried out for an optimized crystal structure of MgInH6Ir2.

Lattice parameters (Å, degrees): 5.687 5.687 6.031 99.76 99.76 98.85
Fractional positions:
Mg 0.392 0.608 0.750
Mg 0.608 0.392 0.250
H 0.783 0.757 0.919
H 0.542 0.340 0.898
H 0.935 0.444 0.127
H 0.757 0.783 0.419
H 0.217 0.243 0.081
H 0.444 0.935 0.627
H 0.065 0.556 0.873
H 0.660 0.458 0.602
H 0.556 0.065 0.373
H 0.340 0.542 0.398
H 0.243 0.217 0.581
H 0.458 0.660 0.102
Ir 0.092 0.335 0.322
Ir 0.665 0.908 0.178
Ir 0.335 0.092 0.822
Ir 0.908 0.665 0.678
In 0.150 0.850 0.250
In 0.850 0.150 0.750

**Total energy**: -4.236 eV per atom
**N(E_F)**: 3.54 states/eV per cell
**Space-group type**: C2/c, No. 15

7.
A plane-wave DFT calculation with PBE-GGA was carried out for an optimized crystal structure of Hf2AlP.

Lattice parameters (Å, degrees): 6.048 6.048 7.381 65.81 65.81 90.00
Fractional positions:
Hf 0.875 0.910 0.750
Hf 0.660 0.125 0.250
Hf 0.375 0.340 0.750
Hf 0.090 0.625 0.250
Al 0.500 0.500 0.000
Al 0.250 0.750 0.500
P 0.000 0.000 0.000
P 0.750 0.250 0.500

**ΔE to the lowest computed polymorph**: 108.3 kJ per mole of atoms
**N(E_F)**: 5.61 states/eV per cell
**DFT formation energy**: 0.4119 eV per atom
**Space-group type**: I-42d, No. 122

8.
A plane-wave DFT calculation with PBE-GGA was carried out for an optimized crystal structure of TcTeHPd2.

Lattice parameters (Å, degrees): 4.059 4.059 4.191 90.00 90.00 90.00
Fractional positions:
H 0.000 0.000 0.000
Pd 0.500 0.000 0.000
Pd 0.000 0.500 0.000
Tc 0.000 0.000 0.500
Te 0.500 0.500 0.500

**Total energy**: -5.341 eV per atom
**N(E_F)**: 2.53 states/eV per cell
**Space-group type**: P4/mmm, No. 123

9.
A plane-wave DFT calculation with PBE-GGA was carried out for an optimized crystal structure of La2Ce3Ge4.

Lattice parameters (Å, degrees): 7.940 8.126 8.040 90.00 90.00 112.28
Fractional positions:
Ce 0.218 0.237 0.664
Ce 0.282 0.763 0.164
Ce 0.718 0.237 0.836
Ce 0.500 0.500 0.000
Ce 0.000 0.500 0.500
Ce 0.782 0.763 0.336
Ge 0.621 0.501 0.625
Ge 0.121 0.501 0.875
Ge 0.379 0.499 0.375
Ge 0.825 0.087 0.538
Ge 0.325 0.087 0.962
Ge 0.675 0.913 0.038
Ge 0.879 0.499 0.125
Ge 0.175 0.913 0.462
La 0.934 0.799 0.818
La 0.566 0.201 0.318
La 0.434 0.799 0.682
La 0.066 0.201 0.182

**ΔE to the lowest computed polymorph**: 0.0 kJ per mole of atoms
**N(E_F)**: 32.90 states/eV per cell
**DFT formation energy**: -0.7676 eV per atom
**Space-group type**: P2_1/c, No. 14

10.
A plane-wave DFT calculation with PBE-GGA was carried out for an optimized crystal structure of Nb3OsC.

Lattice parameters (Å, degrees): 6.034 6.034 10.419 74.73 74.73 60.46
Fractional positions:
C 0.750 0.250 0.250
C 0.250 0.750 0.750
C 0.000 0.500 0.500
C 0.500 0.000 0.000
Os 0.882 0.382 0.867
Os 0.618 0.118 0.633
Os 0.118 0.618 0.133
Os 0.382 0.882 0.367
Nb 0.327 0.828 0.922
Nb 0.652 0.652 0.152
Nb 0.348 0.348 0.348
Nb 0.848 0.848 0.848
Nb 0.348 0.348 0.848
Nb 0.152 0.152 0.152
Nb 0.652 0.652 0.652
Nb 0.152 0.152 0.652
Nb 0.828 0.327 0.422
Nb 0.172 0.673 0.578
Nb 0.673 0.172 0.078
Nb 0.848 0.848 0.348

**ΔE to the lowest computed polymorph**: 0.0 kJ per mole of atoms
**N(E_F)**: 11.94 states/eV per cell
**DFT formation energy**: -0.2486 eV per atom
**Space-group type**: C2/m, No. 12

11.
A plane-wave DFT calculation with PBE-GGA was carried out for an optimized crystal structure of Sr2Tc3.

Lattice parameters (Å, degrees): 10.102 10.102 10.102 23.00 23.00 23.00
Fractional positions:
Tc 0.171 0.171 0.171
Tc 0.000 0.000 0.000
Tc 0.829 0.829 0.829
Sr 0.413 0.413 0.413
Sr 0.587 0.587 0.587

**ΔE to the lowest computed polymorph**: 0.0 kJ per mole of atoms
**N(E_F)**: 7.28 states/eV per cell
**DFT formation energy**: 0.9656 eV per atom
**Space-group type**: R-3m, No. 166

12.
A plane-wave DFT calculation with PBE-GGA was carried out for an optimized crystal structure of GdScAlOs.

Lattice parameters (Å, degrees): 4.820 4.820 4.820 60.00 60.00 60.00
Fractional positions:
Gd 0.500 0.500 0.500
Sc 0.000 0.000 0.000
Al 0.250 0.250 0.250
Os 0.750 0.750 0.750

**N(E_F)**: 2.13 states/eV per cell
**DFT formation energy**: -0.2962 eV per atom
**Space-group type**: F-43m, No. 216

13.
A plane-wave DFT calculation with PBE-GGA was carried out for an optimized crystal structure of KCr2Co.

Lattice parameters (Å, degrees): 5.105 5.105 2.945 90.00 90.00 90.00
Fractional positions:
K 0.500 0.000 0.500
Co 0.000 0.500 0.500
Cr 0.500 0.500 0.000
Cr 0.000 0.000 0.000

**ΔE to the lowest computed polymorph**: 76.4 kJ per mole of atoms
**N(E_F)**: 3.39 states/eV per cell
**DFT formation energy**: 1.5494 eV per atom
**Space-group type**: P4/mmm, No. 123

14.
A plane-wave DFT calculation with PBE-GGA was carried out for an optimized crystal structure of LaHf2Ni2.

Lattice parameters (Å, degrees): 4.637 4.637 6.075 67.57 67.57 90.00
Fractional positions:
Hf 0.655 0.655 0.690
Hf 0.345 0.345 0.310
Ni 0.750 0.250 0.500
Ni 0.250 0.750 0.500
La 0.000 0.000 0.000

**ΔE to the lowest computed polymorph**: 21.0 kJ per mole of atoms
**N(E_F)**: 5.25 states/eV per cell
**DFT formation energy**: -0.0582 eV per atom
**Space-group type**: I4/mmm, No. 139

15.
A plane-wave DFT calculation with PBE-GGA was carried out for an optimized crystal structure of CoBi.

Lattice parameters (Å, degrees): 10.542 10.542 3.770 90.00 90.00 90.00
Fractional positions:
Co 0.308 0.784 0.000
Co 0.716 0.808 0.500
Co 0.784 0.692 0.000
Co 0.808 0.284 0.500
Co 0.692 0.216 0.000
Co 0.192 0.716 0.500
Co 0.284 0.192 0.500
Co 0.216 0.308 0.000
Bi 0.548 0.780 0.000
Bi 0.452 0.220 0.000
Bi 0.280 0.952 0.500
Bi 0.048 0.280 0.500
Bi 0.220 0.548 0.000
Bi 0.720 0.048 0.500
Bi 0.952 0.720 0.500
Bi 0.780 0.452 0.000

**N(E_F)**: 13.39 states/eV per cell
**DFT formation energy**: 0.4858 eV per atom
**Space-group type**: I4/m, No. 87

16.
A plane-wave DFT calculation with PBE-GGA was carried out for an optimized crystal structure of KInCl.

Lattice parameters (Å, degrees): 5.421 5.421 5.421 60.00 60.00 60.00
Fractional positions:
Cl 0.750 0.750 0.750
In 0.000 0.000 0.000
K 0.500 0.500 0.500

**ΔE to the lowest computed polymorph**: 20.6 kJ per mole of atoms
**Formation energy (no corrections)**: -0.62 eV/atom
**N(E_F)**: 1.85 states/eV per cell
**Space-group type**: F-43m, No. 216

17.
A plane-wave DFT calculation with PBE-GGA was carried out for an optimized crystal structure of Ac4InCo.

Lattice parameters (Å, degrees): 7.201 8.303 9.298 111.23 106.85 102.59
Fractional positions:
Co 0.821 0.071 0.143
Co 0.179 0.929 0.857
Ac 0.431 0.723 0.910
Ac 0.297 0.942 0.593
Ac 0.021 0.813 0.090
Ac 0.796 0.651 0.593
Ac 0.569 0.277 0.090
Ac 0.204 0.349 0.407
Ac 0.703 0.058 0.407
Ac 0.979 0.187 0.910
In 0.370 0.620 0.241
In 0.630 0.380 0.759

**ΔE to the lowest computed polymorph**: 4.1 kJ per mole of atoms
**N(E_F)**: 12.78 states/eV per cell
**DFT formation energy**: -0.0909 eV per atom
**Space-group type**: C2/c, No. 15

18.
A plane-wave DFT calculation with PBE-GGA was carried out for an optimized crystal structure of Mn5Ir.

Lattice parameters (Å, degrees): 2.575 4.811 5.981 76.17 90.00 105.52
Fractional positions:
Mn 0.386 0.771 0.715
Mn 0.669 0.339 0.658
Mn 0.331 0.661 0.341
Mn 0.723 0.447 0.061
Mn 0.056 0.113 0.395
Ir 0.001 0.003 0.998

**ΔE to the lowest computed polymorph**: 7.1 kJ per mole of atoms
**N(E_F)**: 6.67 states/eV per cell
**DFT formation energy**: -0.0329 eV per atom
**Space-group type**: Cm, No. 8

19.
A plane-wave DFT calculation with PBE-GGA was carried out for an optimized crystal structure of LiTiS2N.

Lattice parameters (Å, degrees): 4.411 4.411 3.464 90.00 90.00 90.00
Fractional positions:
S 0.000 0.500 0.000
S 0.500 0.000 0.000
Li 0.000 0.000 0.000
N 0.000 0.000 0.500
Ti 0.500 0.500 0.500

**ΔE to the lowest computed polymorph**: 88.6 kJ per mole of atoms
**Formation energy (no corrections)**: 0.49 eV/atom
**N(E_F)**: 4.51 states/eV per cell
**Space-group type**: P4/mmm, No. 123

20.
A plane-wave DFT calculation with PBE-GGA was carried out for an optimized crystal structure of Cs2Sr2Ag.

Lattice parameters (Å, degrees): 8.771 8.771 7.981 90.00 90.00 90.00
Fractional positions:
Sr 0.326 0.826 0.000
Sr 0.826 0.674 0.000
Sr 0.674 0.174 0.000
Sr 0.174 0.326 0.000
Ag 0.500 0.500 0.000
Ag 0.000 0.000 0.000
Cs 0.682 0.818 0.500
Cs 0.818 0.318 0.500
Cs 0.318 0.182 0.500
Cs 0.182 0.682 0.500

**N(E_F)**: 15.21 states/eV per cell
**DFT formation energy**: 0.1178 eV per atom
**Space-group type**: P4/mbm, No. 127